No. 1
AgOs2 | PBE-GGA | optimized geometry

a = 3.6995 Å, b = 3.6995 Å, c = 4.8827 Å
α = 90.00°, β = 90.00°, γ = 120.00°
Element x y z (fractional)
Ag 0.0000 0.0000 0.0000
Os 0.6667 0.3333 0.6053
Os 0.3333 0.6667 0.3947

The value obtained for the mass density is 14.011 Mg/m³. The density of states at the Fermi level is 1.001 states/eV per atom. For the energy above the most stable polymorph in this dataset, the calculation gives 804 meV/atom. For the formation energy, the calculation gives 1.1931 eV per atom.

---

No. 2
Ag2Os | PBE-GGA | optimized geometry

a = 5.3283 Å, b = 5.3283 Å, c = 5.3283 Å
α = 101.70°, β = 101.70°, γ = 126.46°
Element x y z (fractional)
Os 0.7500 0.7500 0.0000
Os 0.2500 0.2500 0.0000
Ag 0.6547 0.1547 0.8094
Ag 0.1547 0.3453 0.5000
Ag 0.8453 0.6547 0.5000
Ag 0.3453 0.8453 0.1906

The value obtained for the mass density is 12.412 Mg/m³. The density of states at the Fermi level is 0.678 states/eV per atom. For the energy above the most stable polymorph in this dataset, the calculation gives 296 meV/atom. For the formation energy, the calculation gives 0.7476 eV per atom.

---

No. 3
Ag2Os | PBE-GGA | optimized geometry

a = 5.2345 Å, b = 5.2345 Å, c = 5.2345 Å
α = 60.00°, β = 60.00°, γ = 60.00°
Element x y z (fractional)
Ag 0.1250 0.1250 0.6250
Ag 0.1250 0.1250 0.1250
Ag 0.6250 0.1250 0.1250
Ag 0.1250 0.6250 0.1250
Os 0.7500 0.7500 0.7500
Os 0.5000 0.5000 0.5000

The value obtained for the mass density is 13.294 Mg/m³. The density of states at the Fermi level is 1.202 states/eV per atom. For the energy above the most stable polymorph in this dataset, the calculation gives 724 meV/atom. For the formation energy, the calculation gives 1.1756 eV per atom.

---

Among the records above, which one has the lowest mass density? number 2